Entry from Alexandria: RbYbO2 after structural relaxation (PBE).

```
RbYbO2
1.0
3.552 0.000 0.000
1.776 3.076 0.000
1.776 1.025 6.419
O Rb Yb
2 1 1
direct
0.227 0.227 0.319
0.773 0.773 0.681
0.000 0.000 0.000
0.500 0.500 0.500
```

Calculated values
The density of states at the Fermi level is 1.1455 states/eV/atom. Its space group is R-3m, No. 166. The crystal system is trigonal. The final energy comes out at -5.0097 eV per atom.